VASP calculation (PBE-GGA) on an optimized crystal structure of Sc4HgRh.

Computed properties:
electronic total energy	-5.813	eV/atom
total magnetic moment	0.00	μB/f.u.
E_form	-0.316	eV per atom
SG	C2/m, No. 12
density	5.6	g/cm3

Cell lengths 4.5943, 4.5954, 6.7603 Å; angles 89.90, 89.94, 90.00 degrees
Fractional positions:
Sc 0.5010 0.9967 0.2693
Sc 0.5016 0.9979 0.7270
Sc 0.0016 0.4978 0.7270
Sc 0.0010 0.4968 0.2693
Hg 0.5013 0.4973 0.9982
Rh 0.0013 0.9973 0.4981



VASP calculation (PBE-GGA) on an optimized crystal structure of Sc2HgRh.

Computed properties:
electronic total energy	-5.571	eV/atom
total magnetic moment	0.00	μB/f.u.
E_form	-0.492	eV per atom
SG	I-4m2, No. 119
density	8.6	g/cm3

Cell lengths 5.3310, 5.3310, 5.3310 Å; angles 134.53, 134.53, 66.27 degrees
Fractional positions:
Hg 0.5000 0.5000 0.0000
Rh 0.7500 0.2500 0.5000
Sc 0.0000 0.0000 0.0000
Sc 0.2500 0.7500 0.5000



VASP calculation (PBE-GGA) on an optimized crystal structure of ScHg4Rh.

Computed properties:
electronic total energy	-2.338	eV/atom
total magnetic moment	0.00	μB/f.u.
E_form	0.144	eV per atom
SG	F-43m, No. 216
density	12.5	g/cm3

Cell lengths 5.6328, 5.6328, 5.6328 Å; angles 60.00, 60.00, 60.00 degrees
Fractional positions:
Sc 0.0000 0.0000 0.0000
Hg 0.8739 0.3754 0.3754
Hg 0.3754 0.3754 0.8740
Hg 0.3754 0.8739 0.3754
Hg 0.3754 0.3754 0.3754
Rh 0.7500 0.7500 0.7500



VASP calculation (PBE-GGA) on an optimized crystal structure of Sc2HgRh.

Computed properties:
electronic total energy	-5.380	eV/atom
total magnetic moment	0.89	μB/f.u.
E_form	-0.301	eV per atom
SG	I-42d, No. 122
density	7.8	g/cm3

Cell lengths 7.5602, 7.5602, 6.0900 Å; angles 51.63, 51.63, 90.00 degrees
Last column: magnetic moment on the atom in μB.
Fractional positions:
Sc 0.5803 0.1250 0.2500  0.28
Sc 0.1697 0.6250 0.2500  0.28
Sc 0.3750 0.4197 0.7500  0.29
Sc 0.8750 0.8303 0.7500  0.30
Rh 0.5000 0.5000 0.0000  0.02
Rh 0.2500 0.7500 0.5000  0.01
Hg 0.0000 0.0000 0.0000  0.03
Hg 0.7500 0.2500 0.5000  0.03